[1]
# BaLiSi3, optimized geometry, DFT PBE
# Formation energy from raw total energies = 0.306 eV per atom
data_BaLiSi3
_chemical_formula_sum 'Ba1 Li1 Si3'
_symmetry_space_group_name_H-M 'P m -3 m'
_symmetry_Int_Tables_number 221
_symmetry_space_group_name_Hall '-P 4 2 3'
_cell_length_a 4.782
_cell_length_b 4.782
_cell_length_c 4.782
_cell_angle_alpha 90.00
_cell_angle_beta 90.00
_cell_angle_gamma 90.00
loop_
_atom_site_label
_atom_site_type_symbol
_atom_site_fract_x
_atom_site_fract_y
_atom_site_fract_z
_atom_site_occupancy
Ba1 Ba 0.000 0.000 0.000 1
Li1 Li 0.500 0.500 0.500 1
Si1 Si 0.000 0.500 0.500 1



[2]
# BaLiSi2, optimized geometry, DFT PBE
# Formation energy from raw total energies = -0.132 eV per atom
data_BaLiSi2
_chemical_formula_sum 'Ba4 Li4 Si8'
_symmetry_space_group_name_H-M 'I 41/a m d'
_symmetry_Int_Tables_number 141
_cell_length_a 4.919
_cell_length_b 4.919
_cell_length_c 17.653
_cell_angle_alpha 90.00
_cell_angle_beta 90.00
_cell_angle_gamma 90.00
loop_
_symmetry_equiv_pos_as_xyz
'x,y,z'
'-x,-y,-z'
'-y+1/4,x+3/4,z+1/4'
'y+1/4,-x+3/4,-z+1/4'
'-x+1/2,-y,z+1/2'
'x+1/2,y,-z+1/2'
'y+1/4,-x+1/4,z+3/4'
'-y+1/4,x+1/4,-z+3/4'
'x,-y,-z'
'-x,y,z'
'-y+1/4,-x+1/4,-z+3/4'
'y+1/4,x+1/4,z+3/4'
'-x+1/2,y,-z+1/2'
'x+1/2,-y,z+1/2'
'y+1/4,x+3/4,-z+1/4'
'-y+1/4,-x+3/4,z+1/4'
'x+1/2,y+1/2,z+1/2'
'-x+1/2,-y+1/2,-z+1/2'
'-y+3/4,x+1/4,z+3/4'
'y+3/4,-x+1/4,-z+3/4'
'-x,-y+1/2,z'
'x,y+1/2,-z'
'y+3/4,-x+3/4,z+1/4'
'-y+3/4,x+3/4,-z+1/4'
'x+1/2,-y+1/2,-z+1/2'
'-x+1/2,y+1/2,z+1/2'
'-y+3/4,-x+3/4,-z+1/4'
'y+3/4,x+3/4,z+1/4'
'-x,y+1/2,-z'
'x,-y+1/2,z'
'y+3/4,x+1/4,-z+3/4'
'-y+3/4,-x+1/4,z+3/4'
loop_
_atom_site_label
_atom_site_type_symbol
_atom_site_fract_x
_atom_site_fract_y
_atom_site_fract_z
_atom_site_occupancy
Ba1 Ba 0.000 0.250 0.375 1
Li1 Li 0.000 0.250 0.875 1
Si1 Si 0.000 0.000 0.000 1



Spin magnetization / μB per formula unit: 0.000, 0.000